(1)
Below is U3As2P after structural relaxation, with properties calculated at the PBE-GGA level.

The calculation puts the total moment at 14.12 μB per cell.

It has space group Immm (No. 71), with a = 4.034 Å, b = 5.715 Å, c = 12.111 Å, α = 90.00°, β = 90.00° and γ = 90.00°. The inequivalent atoms are U at (0.000, 0.000, 0.000), U at (0.000, 0.000, 0.341), As at (0.000, 0.500, 0.330) and P at (0.000, 0.500, 0.000).

=====

(2)
Below is V3AsP after structural relaxation, with properties calculated at the PBE-GGA level.

The calculation puts the total moment at 0.00 μB per cell.

It has space group C2/m (No. 12), with a = 11.588 Å, b = 4.488 Å, c = 5.300 Å, α = 90.00°, β = 90.33° and γ = 90.00°. The inequivalent atoms are V at (0.013, 0.000, 0.242), V at (0.099, 0.500, 0.857), V at (0.187, 0.000, 0.490), As at (0.186, 0.000, 0.973) and P at (0.104, 0.500, 0.389).

=====

(3)
Below is V4As2P after structural relaxation, with properties calculated at the PBE-GGA level.

The calculation puts the total moment at 0.00 μB per cell.

It has space group Pbam (No. 55), with a = 6.449 Å, b = 9.606 Å, c = 3.375 Å, α = 90.00°, β = 90.00° and γ = 90.00°. The inequivalent atoms are V at (0.136, 0.218, 0.000), V at (0.203, 0.916, 0.500), As at (0.082, 0.651, 0.500) and P at (0.000, 0.000, 0.000).

=====

Number 1: total energy -0.6534 Ry/atom, calculated formation energy -0.794 eV/atom. Number 2: total energy -0.5712 Ry/atom, calculated formation energy -0.288 eV/atom. Number 3: total energy -0.5712 Ry/atom, calculated formation energy -0.460 eV/atom.